1.
First-principles (PBE) data for a relaxed structure of NaGe2Au6, as listed in Alexandria.

abc: 8.430 8.430 8.430
angles: 60.00 60.00 60.00
Sites, in units of the cell vectors:
Na (0.125, 0.125, 0.125)
Na (0.875, 0.875, 0.875)
Ge (0.000, 0.500, 0.500)
Ge (0.500, 0.000, 0.500)
Ge (0.500, 0.500, 0.000)
Ge (0.500, 0.500, 0.500)
Au (0.129, 0.129, 0.621)
Au (0.129, 0.621, 0.129)
Au (0.129, 0.621, 0.621)
Au (0.379, 0.379, 0.871)
Au (0.379, 0.871, 0.379)
Au (0.379, 0.871, 0.871)
Au (0.621, 0.129, 0.129)
Au (0.621, 0.129, 0.621)
Au (0.621, 0.621, 0.129)
Au (0.871, 0.379, 0.379)
Au (0.871, 0.379, 0.871)
Au (0.871, 0.871, 0.379)

Computed properties:
Its volume is 423.59 Å³ per cell. As for the space-group type: Fd-3m. The calculation puts the total moment at 0.00 μB per cell.

---

2.
First-principles (PBE) data for a relaxed structure of NaGe2Au6, as listed in Alexandria.

abc: 4.447 4.447 8.962
angles: 90.00 90.00 90.00
Sites, in units of the cell vectors:
Na (0.000, 0.000, 0.000)
Ge (0.500, 0.500, 0.139)
Ge (0.500, 0.500, 0.861)
Au (0.000, 0.000, 0.500)
Au (0.000, 0.500, 0.284)
Au (0.000, 0.500, 0.716)
Au (0.500, 0.000, 0.284)
Au (0.500, 0.000, 0.716)
Au (0.500, 0.500, 0.500)

Computed properties:
Its volume is 177.26 Å³ per cell. As for the space-group type: P4/mmm. The calculation puts the total moment at 0.00 μB per cell.

---

Most stable: 2 (next structure +237 meV per atom)

---

1.
First-principles (PBE) data for a relaxed structure of Na3GeAu4, as listed in Alexandria.

abc: 5.640 9.023 7.923
angles: 90.00 90.00 90.00
Sites, in units of the cell vectors:
Na (0.000, 0.000, 0.000)
Na (0.000, 0.243, 0.645)
Na (0.000, 0.757, 0.645)
Na (0.500, 0.257, 0.145)
Na (0.500, 0.500, 0.500)
Na (0.500, 0.743, 0.145)
Ge (0.000, 0.500, 0.144)
Ge (0.500, 0.000, 0.644)
Au (0.000, 0.253, 0.271)
Au (0.000, 0.747, 0.271)
Au (0.247, 0.000, 0.376)
Au (0.253, 0.500, 0.876)
Au (0.500, 0.247, 0.771)
Au (0.500, 0.753, 0.771)
Au (0.747, 0.500, 0.876)
Au (0.753, 0.000, 0.376)

Computed properties:
Its volume is 403.21 Å³ per cell. As for the space-group type: Imm2. The calculation puts the total moment at 0.00 μB per cell.

---

2.
First-principles (PBE) data for a relaxed structure of Na3GeAu4, as listed in Alexandria.

abc: 15.738 9.617 4.883
angles: 90.00 90.00 90.00
Sites, in units of the cell vectors:
Na (0.093, 0.250, 0.002)
Na (0.143, 0.033, 0.501)
Na (0.143, 0.467, 0.501)
Na (0.357, 0.533, 0.001)
Na (0.357, 0.967, 0.001)
Na (0.407, 0.750, 0.502)
Na (0.593, 0.250, 0.498)
Na (0.643, 0.033, 0.999)
Na (0.643, 0.467, 0.999)
Na (0.857, 0.533, 0.499)
Na (0.857, 0.967, 0.499)
Na (0.907, 0.750, 0.998)
Ge (0.198, 0.750, 0.984)
Ge (0.302, 0.250, 0.484)
Ge (0.698, 0.750, 0.516)
Ge (0.802, 0.250, 0.016)
Au (0.021, 0.750, 0.499)
Au (0.065, 0.593, 0.999)
Au (0.065, 0.907, 0.999)
Au (0.228, 0.750, 0.483)
Au (0.272, 0.250, 0.983)
Au (0.435, 0.093, 0.499)
Au (0.435, 0.407, 0.499)
Au (0.479, 0.250, 0.999)
Au (0.521, 0.750, 0.001)
Au (0.565, 0.593, 0.501)
Au (0.565, 0.907, 0.501)
Au (0.728, 0.750, 0.017)
Au (0.772, 0.250, 0.517)
Au (0.935, 0.093, 0.001)
Au (0.935, 0.407, 0.001)
Au (0.979, 0.250, 0.501)

Computed properties:
Its volume is 739.01 Å³ per cell. As for the space-group type: Pnma. The calculation puts the total moment at 0.00 μB per cell.

---

Most stable: 1 (next structure +42 meV per atom)